[1]
Material: ErTmAl3Si2
Method: DFT, PBE
State: relaxed

Lattice parameters (Å, degrees): 10.0725 4.0187 6.5698 90.00 100.68 90.00
With the nearest neighbours (Å) after each atom.
Space group Cm (No. 8)
Inequivalent atoms, fractional coordinates:
1 Er 0.0000 0.0000 0.0000 (multiplicity 2)  5 Si 2.85-2.98, 5 Al 3.01-3.18
2 Tm 0.2387 0.0000 0.6456 (multiplicity 2)  5 Si 2.86-2.98, 5 Al 3.00-3.18
3 Al 0.1196 0.5000 0.3232 (multiplicity 2)  2 Si 2.70-2.71, 2 Tm 3.00, 2 Er 3.01
4 Al 0.3145 0.0000 0.1900 (multiplicity 2)  2 Si 2.60, 2 Al 2.76
5 Al 0.4240 0.5000 0.4562 (multiplicity 2)  2 Si 2.60, 2 Al 2.76
6 Si 0.0257 0.5000 0.6828 (multiplicity 2)  1 Si 2.38, 2 Al 2.60
7 Si 0.2130 0.5000 0.9620 (multiplicity 2)  1 Si 2.38, 2 Al 2.60

Calculated values
E   -4.98 eV per atom
Total moment   0.0 μB/f.u.

---

[2]
Material: BeZn2Cd
Method: DFT, PBE
State: relaxed

Lattice parameters (Å, degrees): 6.2156 6.2156 6.2156 90.00 90.00 90.00
With the nearest neighbours (Å) after each atom.
Space group F-43m (No. 216)
Inequivalent atoms, fractional coordinates:
1 Be 0.0000 0.0000 0.0000 (multiplicity 4)  4 Cd 2.69, 4 Zn 2.69
2 Zn 0.0000 0.0000 0.5000 (multiplicity 4)  4 Cd 2.69, 4 Zn 2.69
3 Zn 0.2500 0.2500 0.2500 (multiplicity 4)  4 Be 2.69, 4 Zn 2.69
4 Cd 0.2500 0.2500 0.7500 (multiplicity 4)  4 Be 2.69, 4 Zn 2.69

Calculated values
E   -1.45 eV per atom

---

[3]
Material: Gd2HoTmIn2
Method: DFT, PBE
State: relaxed

Lattice parameters (Å, degrees): 5.3860 5.3860 6.7209 90.00 90.00 120.00
With the nearest neighbours (Å) after each atom.
Space group P-6m2 (No. 187)
Inequivalent atoms, fractional coordinates:
1 Gd 0.0000 0.0000 0.2504 (multiplicity 2)  2 Gd 3.36-3.37, 3 Tm 3.53, 6 In 3.53-3.54, 3 Ho 3.54
2 Ho 0.3333 0.6667 0.0000 (multiplicity 1)  5 In 3.11-3.36
3 Tm 0.6667 0.3333 0.5000 (multiplicity 1)  5 In 3.11-3.36
4 In 0.3333 0.6667 0.5000 (multiplicity 1)  3 Tm 3.11, 2 Ho 3.36
5 In 0.6667 0.3333 0.0000 (multiplicity 1)  3 Ho 3.11, 2 Tm 3.36

Calculated values
E   -4.32 eV per atom
Total moment   0.6 μB/f.u.